A plane-wave DFT calculation with PBE+U was carried out for a relaxed structure of LiNp2NiO8.

```
LiNp2NiO8
1.0
0.537 -6.535 -0.426
6.224 -0.917 -1.897
-2.218 3.568 5.053
Li Np Ni O
1 2 1 8
Direct
0.250 0.750 0.500
0.750 0.250 0.500
0.500 0.500 0.000
0.000 0.000 0.000
0.376 0.109 0.267
0.360 0.583 0.223
0.360 0.138 0.777
0.841 0.109 0.733
0.862 0.640 0.223
0.891 0.159 0.267
0.891 0.624 0.733
0.417 0.640 0.777
```

Total DFT energy (no corrections)   -7.57 eV/atom
Total magnetic moment   3.222 Bohr magnetons per cell
N(E_F)   12.0 states/eV per cell
Mass density   6.499 g/cm3